Entry 1:
# PBE AcAl4Hg, optimized geometry
# - DOS at the Fermi energy: 3.80 states/eV/f.u.
# - Formation energy from the elements: -0.097 eV/atom
data_AcAl4Hg
_cell_length_a 8.184
_cell_length_b 8.184
_cell_length_c 8.184
_cell_angle_alpha 90.00
_cell_angle_beta 90.00
_cell_angle_gamma 90.00
_space_group_name_H-M_alt 'F -4 3 m'
_space_group_IT_number 216
_space_group_name_Hall 'F -4 2 3'
loop_
_atom_site_label
_atom_site_type_symbol
_atom_site_fract_x
_atom_site_fract_y
_atom_site_fract_z
Ac1 Ac 0.000 0.000 0.000
Al1 Al 0.126 0.126 0.374
Hg1 Hg 0.250 0.250 0.750



Entry 2:
# PBE Ac3Al2Hg3, optimized geometry
# - DOS at the Fermi energy: 6.02 states/eV/f.u.
# - Formation energy from the elements: -0.425 eV/atom
data_Ac3Al2Hg3
_cell_length_a 4.829
_cell_length_b 11.836
_cell_length_c 16.324
_cell_angle_alpha 90.00
_cell_angle_beta 90.00
_cell_angle_gamma 90.00
_space_group_name_H-M_alt 'C m c m'
_space_group_IT_number 63
_space_group_name_Hall '-C 2c 2'
loop_
_atom_site_label
_atom_site_type_symbol
_atom_site_fract_x
_atom_site_fract_y
_atom_site_fract_z
Ac1 Ac 0.000 0.087 0.106
Ac2 Ac 0.000 0.374 0.250
Al1 Al 0.000 0.207 0.600
Hg1 Hg 0.000 0.337 0.750
Hg2 Hg 0.000 0.374 0.037



Entry 3:
# PBE Ac3Al3Hg, optimized geometry
# - DOS at the Fermi energy: 5.99 states/eV/f.u.
# - Formation energy from the elements: -0.348 eV/atom
data_Ac3Al3Hg
_cell_length_a 11.761
_cell_length_b 4.904
_cell_length_c 15.647
_cell_angle_alpha 90.00
_cell_angle_beta 110.64
_cell_angle_gamma 90.00
_space_group_name_H-M_alt 'C 1 2/m 1'
_space_group_IT_number 12
_space_group_name_Hall '-C 2y'
loop_
_atom_site_label
_atom_site_type_symbol
_atom_site_fract_x
_atom_site_fract_y
_atom_site_fract_z
Ac1 Ac 0.042 0.000 0.380
Ac2 Ac 0.102 0.000 0.920
Ac3 Ac 0.249 0.500 0.780
Al1 Al 0.050 0.500 0.229
Al2 Al 0.101 0.500 0.074
Al3 Al 0.127 0.500 0.540
Hg1 Hg 0.247 0.000 0.607



Entry 4:
# PBE Ac5Al2Hg, optimized geometry
# - DOS at the Fermi energy: 7.17 states/eV/f.u.
# - Formation energy from the elements: -0.262 eV/atom
data_Ac5Al2Hg
_cell_length_a 8.259
_cell_length_b 8.259
_cell_length_c 16.800
_cell_angle_alpha 90.00
_cell_angle_beta 90.00
_cell_angle_gamma 90.00
_space_group_name_H-M_alt 'I 4/m c m'
_space_group_IT_number 140
_space_group_name_Hall '-I 4 2c'
loop_
_atom_site_label
_atom_site_type_symbol
_atom_site_fract_x
_atom_site_fract_y
_atom_site_fract_z
Ac1 Ac 0.000 0.000 0.000
Ac2 Ac 0.174 0.326 0.146
Al1 Al 0.113 0.387 0.500
Hg1 Hg 0.000 0.000 0.250



Entry 5:
# PBE AcHoAl2Hg5, optimized geometry
# - DOS at the Fermi energy: 3.77 states/eV/f.u.
# - Formation energy from the elements: -0.181 eV/atom
data_AcHoAl2Hg5
_cell_length_a 5.257
_cell_length_b 5.257
_cell_length_c 8.325
_cell_angle_alpha 90.00
_cell_angle_beta 90.00
_cell_angle_gamma 90.00
_space_group_name_H-M_alt 'P 4/m m m'
_space_group_IT_number 123
_space_group_name_Hall '-P 4 2'
loop_
_atom_site_label
_atom_site_type_symbol
_atom_site_fract_x
_atom_site_fract_y
_atom_site_fract_z
Ac1 Ac 0.000 0.000 0.000
Ho1 Ho 0.000 0.000 0.500
Al1 Al 0.500 0.500 0.343
Hg1 Hg 0.000 0.500 0.275
Hg2 Hg 0.500 0.500 0.000



Entry 6:
# PBE Ac2HoAl3Hg12, optimized geometry
# - DOS at the Fermi energy: 12.54 states/eV/f.u.
# - Formation energy from the elements: -0.081 eV/atom
data_Ac2HoAl3Hg12
_cell_length_a 6.8559
_cell_length_b 6.8559
_cell_length_c 36.4630
_cell_angle_alpha 90.00
_cell_angle_beta 90.00
_cell_angle_gamma 120.00
_space_group_name_H-M_alt 'R -3 m'
_space_group_IT_number 166
_space_group_name_Hall '-R 3 2"'
loop_
_atom_site_label
_atom_site_type_symbol
_atom_site_fract_x
_atom_site_fract_y
_atom_site_fract_z
Ac1 Ac 0.0000 0.0000 0.1369
Ho1 Ho 0.0000 0.0000 0.5000
Al1 Al 0.0000 0.5000 0.0000
Hg1 Hg 0.0156 0.5078 0.8905
Hg2 Hg 0.0357 0.5178 0.6178



Entry 7:
# PBE AcHoAlHg, optimized geometry
# - DOS at the Fermi energy: 4.83 states/eV/f.u.
# - Formation energy from the elements: -0.315 eV/atom
data_AcHoAlHg
_cell_length_a 7.723
_cell_length_b 7.723
_cell_length_c 7.723
_cell_angle_alpha 90.00
_cell_angle_beta 90.00
_cell_angle_gamma 90.00
_space_group_name_H-M_alt 'F -4 3 m'
_space_group_IT_number 216
_space_group_name_Hall 'F -4 2 3'
loop_
_atom_site_label
_atom_site_type_symbol
_atom_site_fract_x
_atom_site_fract_y
_atom_site_fract_z
Ac1 Ac 0.000 0.000 0.000
Ho1 Ho 0.000 0.000 0.500
Al1 Al 0.250 0.250 0.750
Hg1 Hg 0.250 0.250 0.250



Entry 8:
# PBE Ac2Al4InHg3, optimized geometry
# - DOS at the Fermi energy: 2.67 states/eV/f.u.
# - Formation energy from the elements: -0.356 eV/atom
data_Ac2Al4InHg3
_cell_length_a 4.673
_cell_length_b 4.673
_cell_length_c 11.194
_cell_angle_alpha 90.00
_cell_angle_beta 90.00
_cell_angle_gamma 90.00
_space_group_name_H-M_alt 'P -4 m 2'
_space_group_IT_number 115
_space_group_name_Hall 'P -4 -2'
loop_
_atom_site_label
_atom_site_type_symbol
_atom_site_fract_x
_atom_site_fract_y
_atom_site_fract_z
Ac1 Ac 0.000 0.500 0.247
Al1 Al 0.000 0.000 0.000
Al2 Al 0.000 0.500 0.637
Al3 Al 0.500 0.500 0.000
In1 In 0.000 0.000 0.500
Hg1 Hg 0.000 0.500 0.871
Hg2 Hg 0.500 0.500 0.500



Entry 9:
# PBE AcAlInHg2, optimized geometry
# - DOS at the Fermi energy: 1.80 states/eV/f.u.
# - Formation energy from the elements: -0.313 eV/atom
data_AcAlInHg2
_cell_length_a 4.629
_cell_length_b 4.629
_cell_length_c 12.226
_cell_angle_alpha 90.00
_cell_angle_beta 90.00
_cell_angle_gamma 90.00
_space_group_name_H-M_alt 'I -4 m 2'
_space_group_IT_number 119
_space_group_name_Hall 'I -4 -2'
loop_
_atom_site_label
_atom_site_type_symbol
_atom_site_fract_x
_atom_site_fract_y
_atom_site_fract_z
Ac1 Ac 0.000 0.000 0.000
Al1 Al 0.000 0.500 0.750
In1 In 0.000 0.500 0.250
Hg1 Hg 0.000 0.000 0.385



Entry 10:
# PBE Ac2AlIn4Hg3, optimized geometry
# - DOS at the Fermi energy: 2.13 states/eV/f.u.
# - Formation energy from the elements: -0.314 eV/atom
data_Ac2AlIn4Hg3
_cell_length_a 4.818
_cell_length_b 4.818
_cell_length_c 11.851
_cell_angle_alpha 90.00
_cell_angle_beta 90.00
_cell_angle_gamma 90.00
_space_group_name_H-M_alt 'P -4 m 2'
_space_group_IT_number 115
_space_group_name_Hall 'P -4 -2'
loop_
_atom_site_label
_atom_site_type_symbol
_atom_site_fract_x
_atom_site_fract_y
_atom_site_fract_z
Ac1 Ac 0.000 0.500 0.242
Al1 Al 0.500 0.500 0.000
In1 In 0.000 0.000 0.500
In2 In 0.000 0.500 0.872
In3 In 0.500 0.500 0.500
Hg1 Hg 0.000 0.000 0.000
Hg2 Hg 0.000 0.500 0.640



Entry 11:
# PBE Ac2Al3InHg4, optimized geometry
# - DOS at the Fermi energy: 3.29 states/eV/f.u.
# - Formation energy from the elements: -0.359 eV/atom
data_Ac2Al3InHg4
_cell_length_a 4.688
_cell_length_b 4.688
_cell_length_c 11.415
_cell_angle_alpha 90.00
_cell_angle_beta 90.00
_cell_angle_gamma 90.00
_space_group_name_H-M_alt 'P -4 m 2'
_space_group_IT_number 115
_space_group_name_Hall 'P -4 -2'
loop_
_atom_site_label
_atom_site_type_symbol
_atom_site_fract_x
_atom_site_fract_y
_atom_site_fract_z
Ac1 Ac 0.000 0.500 0.241
Al1 Al 0.000 0.500 0.874
Al2 Al 0.500 0.500 0.500
In1 In 0.000 0.000 0.500
Hg1 Hg 0.000 0.000 0.000
Hg2 Hg 0.000 0.500 0.645
Hg3 Hg 0.500 0.500 0.000



Entry 12:
# PBE AcLa5AlHg2, optimized geometry
# - DOS at the Fermi energy: 12.71 states/eV/f.u.
# - Formation energy from the elements: -0.152 eV/atom
data_AcLa5AlHg2
_cell_length_a 7.718
_cell_length_b 7.718
_cell_length_c 10.427
_cell_angle_alpha 90.00
_cell_angle_beta 90.00
_cell_angle_gamma 90.00
_space_group_name_H-M_alt 'P 4/m b m'
_space_group_IT_number 127
_space_group_name_Hall '-P 4 2ab'
loop_
_atom_site_label
_atom_site_type_symbol
_atom_site_fract_x
_atom_site_fract_y
_atom_site_fract_z
Ac1 Ac 0.000 0.000 0.000
La1 La 0.000 0.000 0.500
La2 La 0.186 0.314 0.249
Al1 Al 0.000 0.500 0.000
Hg1 Hg 0.128 0.628 0.500



Entry 13:
# PBE LiAcAlHg3, optimized geometry
# - DOS at the Fermi energy: 2.02 states/eV/f.u.
# - Formation energy from the elements: -0.213 eV/atom
data_LiAcAlHg3
_cell_length_a 6.924
_cell_length_b 12.793
_cell_length_c 6.615
_cell_angle_alpha 90.00
_cell_angle_beta 90.00
_cell_angle_gamma 90.00
_space_group_name_H-M_alt 'C m c m'
_space_group_IT_number 63
_space_group_name_Hall '-C 2c 2'
loop_
_atom_site_label
_atom_site_type_symbol
_atom_site_fract_x
_atom_site_fract_y
_atom_site_fract_z
Li1 Li 0.000 0.043 0.250
Ac1 Ac 0.000 0.288 0.250
Al1 Al 0.000 0.370 0.750
Hg1 Hg 0.000 0.161 0.750
Hg2 Hg 0.221 0.500 0.000



Entry 14:
# PBE LiAc3Al2Hg6, optimized geometry
# - DOS at the Fermi energy: 10.07 states/eV/f.u.
# - Formation energy from the elements: -0.217 eV/atom
data_LiAc3Al2Hg6
_cell_length_a 6.7816
_cell_length_b 6.7816
_cell_length_c 8.5705
_cell_angle_alpha 90.00
_cell_angle_beta 90.00
_cell_angle_gamma 120.00
_space_group_name_H-M_alt 'P -3 m 1'
_space_group_IT_number 164
_space_group_name_Hall '-P 3 2"'
loop_
_atom_site_label
_atom_site_type_symbol
_atom_site_fract_x
_atom_site_fract_y
_atom_site_fract_z
Li1 Li 0.0000 0.0000 0.0000
Ac1 Ac 0.0000 0.0000 0.5000
Ac2 Ac 0.3333 0.6667 0.1692
Al1 Al 0.3333 0.6667 0.5608
Hg1 Hg 0.1764 0.3527 0.8110



Entry 15:
# PBE LiAc2Al4Hg3, optimized geometry
# - DOS at the Fermi energy: 4.33 states/eV/f.u.
# - Formation energy from the elements: -0.343 eV/atom
data_LiAc2Al4Hg3
_cell_length_a 4.578
_cell_length_b 4.578
_cell_length_c 11.341
_cell_angle_alpha 90.00
_cell_angle_beta 90.00
_cell_angle_gamma 90.00
_space_group_name_H-M_alt 'P -4 m 2'
_space_group_IT_number 115
_space_group_name_Hall 'P -4 -2'
loop_
_atom_site_label
_atom_site_type_symbol
_atom_site_fract_x
_atom_site_fract_y
_atom_site_fract_z
Li1 Li 0.000 0.000 0.000
Ac1 Ac 0.000 0.500 0.751
Al1 Al 0.000 0.000 0.500
Al2 Al 0.000 0.500 0.129
Al3 Al 0.500 0.500 0.500
Hg1 Hg 0.000 0.500 0.365
Hg2 Hg 0.500 0.500 0.000



Entry 16:
# PBE LiAcAlHg, optimized geometry
# - DOS at the Fermi energy: 2.41 states/eV/f.u.
# - Formation energy from the elements: -0.236 eV/atom
data_LiAcAlHg
_cell_length_a 7.528
_cell_length_b 7.528
_cell_length_c 7.528
_cell_angle_alpha 90.00
_cell_angle_beta 90.00
_cell_angle_gamma 90.00
_space_group_name_H-M_alt 'F -4 3 m'
_space_group_IT_number 216
_space_group_name_Hall 'F -4 2 3'
loop_
_atom_site_label
_atom_site_type_symbol
_atom_site_fract_x
_atom_site_fract_y
_atom_site_fract_z
Li1 Li 0.000 0.000 0.000
Ac1 Ac 0.000 0.000 0.500
Al1 Al 0.250 0.250 0.750
Hg1 Hg 0.250 0.250 0.250



Entry 17:
# PBE Ac2Mg6AlHg, optimized geometry
# - DOS at the Fermi energy: 7.47 states/eV/f.u.
# - Formation energy from the elements: -0.051 eV/atom
data_Ac2Mg6AlHg
_cell_length_a 7.971
_cell_length_b 9.975
_cell_length_c 7.252
_cell_angle_alpha 90.00
_cell_angle_beta 90.00
_cell_angle_gamma 90.00
_space_group_name_H-M_alt 'P m m n'
_space_group_IT_number 59
loop_
_space_group_symop_operation_xyz
'x,y,z'
'-x,-y,-z'
'-x+1/2,-y+1/2,z'
'x+1/2,y+1/2,-z'
'x+1/2,-y,-z'
'-x+1/2,y,z'
'-x,y+1/2,-z'
'x,-y+1/2,z'
loop_
_atom_site_label
_atom_site_type_symbol
_atom_site_fract_x
_atom_site_fract_y
_atom_site_fract_z
Ac1 Ac 0.250 0.008 0.250
Mg1 Mg 0.063 0.250 0.586
Mg2 Mg 0.067 0.750 0.934
Mg3 Mg 0.250 0.002 0.754
Al1 Al 0.250 0.250 0.939
Hg1 Hg 0.250 0.750 0.571



Entry 18:
# PBE AcMg2AlHg4, optimized geometry
# - DOS at the Fermi energy: 2.69 states/eV/f.u.
# - Formation energy from the elements: -0.257 eV/atom
data_AcMg2AlHg4
_cell_length_a 4.8420
_cell_length_b 4.8420
_cell_length_c 29.0914
_cell_angle_alpha 90.00
_cell_angle_beta 90.00
_cell_angle_gamma 120.00
_space_group_name_H-M_alt 'R -3 m'
_space_group_IT_number 166
_space_group_name_Hall '-R 3 2"'
loop_
_atom_site_label
_atom_site_type_symbol
_atom_site_fract_x
_atom_site_fract_y
_atom_site_fract_z
Ac1 Ac 0.0000 0.0000 0.0000
Mg1 Mg 0.0000 0.0000 0.2355
Al1 Al 0.0000 0.0000 0.5000
Hg1 Hg 0.0000 0.0000 0.1281
Hg2 Hg 0.0000 0.0000 0.3967



Entry 19:
# PBE AcMgAl2Hg4, optimized geometry
# - DOS at the Fermi energy: 3.78 states/eV/f.u.
# - Formation energy from the elements: -0.195 eV/atom
data_AcMgAl2Hg4
_cell_length_a 4.7824
_cell_length_b 4.7824
_cell_length_c 28.8459
_cell_angle_alpha 90.00
_cell_angle_beta 90.00
_cell_angle_gamma 120.00
_space_group_name_H-M_alt 'R -3 m'
_space_group_IT_number 166
_space_group_name_Hall '-R 3 2"'
loop_
_atom_site_label
_atom_site_type_symbol
_atom_site_fract_x
_atom_site_fract_y
_atom_site_fract_z
Ac1 Ac 0.0000 0.0000 0.0000
Mg1 Mg 0.0000 0.0000 0.5000
Al1 Al 0.0000 0.0000 0.2399
Hg1 Hg 0.0000 0.0000 0.1287
Hg2 Hg 0.0000 0.0000 0.3960



Entry 20:
# PBE AcMgAlHg, optimized geometry
# - DOS at the Fermi energy: 1.26 states/eV/f.u.
# - Formation energy from the elements: -0.273 eV/atom
data_AcMgAlHg
_cell_length_a 7.556
_cell_length_b 7.556
_cell_length_c 7.556
_cell_angle_alpha 90.00
_cell_angle_beta 90.00
_cell_angle_gamma 90.00
_space_group_name_H-M_alt 'F -4 3 m'
_space_group_IT_number 216
_space_group_name_Hall 'F -4 2 3'
loop_
_atom_site_label
_atom_site_type_symbol
_atom_site_fract_x
_atom_site_fract_y
_atom_site_fract_z
Ac1 Ac 0.000 0.000 0.000
Mg1 Mg 0.000 0.000 0.500
Al1 Al 0.250 0.250 0.250
Hg1 Hg 0.250 0.250 0.750



Entry 21:
# PBE AcMg2Al2Hg2, optimized geometry
# - DOS at the Fermi energy: 2.09 states/eV/f.u.
# - Formation energy from the elements: -0.271 eV/atom
data_AcMg2Al2Hg2
_cell_length_a 4.6867
_cell_length_b 4.6867
_cell_length_c 26.8584
_cell_angle_alpha 90.00
_cell_angle_beta 90.00
_cell_angle_gamma 120.00
_space_group_name_H-M_alt 'R -3 m'
_space_group_IT_number 166
_space_group_name_Hall '-R 3 2"'
loop_
_atom_site_label
_atom_site_type_symbol
_atom_site_fract_x
_atom_site_fract_y
_atom_site_fract_z
Ac1 Ac 0.0000 0.0000 0.0000
Mg1 Mg 0.0000 0.0000 0.1377
Al1 Al 0.0000 0.0000 0.2484
Hg1 Hg 0.0000 0.0000 0.4148



Entry 22:
# PBE Ac3MgAl2Hg6, optimized geometry
# - DOS at the Fermi energy: 10.39 states/eV/f.u.
# - Formation energy from the elements: -0.199 eV/atom
data_Ac3MgAl2Hg6
_cell_length_a 6.7235
_cell_length_b 6.7235
_cell_length_c 8.8951
_cell_angle_alpha 90.00
_cell_angle_beta 90.00
_cell_angle_gamma 120.00
_space_group_name_H-M_alt 'P -3 m 1'
_space_group_IT_number 164
_space_group_name_Hall '-P 3 2"'
loop_
_atom_site_label
_atom_site_type_symbol
_atom_site_fract_x
_atom_site_fract_y
_atom_site_fract_z
Ac1 Ac 0.0000 0.0000 0.0000
Ac2 Ac 0.3333 0.6667 0.6464
Mg1 Mg 0.0000 0.0000 0.5000
Al1 Al 0.3333 0.6667 0.0322
Hg1 Hg 0.1800 0.3599 0.2864